# NaMn3Al | the Alexandria database | SCAN | single point on PBEsol structure
data_NaMn3Al
_chemical_formula_sum 'Na1 Mn3 Al1'
_cell_length_a 4.7027
_cell_length_b 4.7027
_cell_length_c 4.7027
_cell_angle_alpha 90.00
_cell_angle_beta 90.00
_cell_angle_gamma 90.00
_symmetry_space_group_name_H-M 'P 1'
_symmetry_Int_Tables_number 1
_symmetry_space_group_name_Hall 'P 1'
loop_
_atom_site_label
_atom_site_fract_x
_atom_site_fract_y
_atom_site_fract_z
_atom_site_occupancy
Na1 0.0000 0.0000 0.0000 1
Mn1 0.0000 0.5000 0.5000 1
Mn2 0.5000 0.0000 0.5000 1
Mn3 0.5000 0.5000 0.0000 1
Al1 0.5000 0.5000 0.5000 1
# ΔE_f: 0.58 eV/atom
# DOS at the Fermi energy: 1.42 states/eV per atom
# M_tot: 12.2 μB per formula unit